Crystalline KNdMn4O12 at its relaxed geometry. Source: the Alexandria database, functional PBE with a Hubbard U.

Results
Fermi-level density of states in states/eV per cell: 19.73
M_tot in μB per formula unit: 16.1
Crystal system: orthorhombic
Calculated total energy in Ha/atom: -0.238

Lattice parameters (Å, degrees): 7.6146 7.5926 7.6162 90.00 90.00 90.00
Last column: nearest neighbours and their distance in Å.
Space group Amm2 (No. 38)
Unique sites:
K (0.0000, 0.0000, 0.0000) x2  12 O 2.63-2.94
Nd (0.5000, 0.0000, 0.5103) x2  10 O 2.51-2.58
Mn (0.2436, 0.2487, 0.2553) x8  6 O 1.86-1.96
O (0.0000, 0.2270, 0.2609) x4  2 Mn 1.86
O (0.2505, 0.0000, 0.7395) x4  2 Mn 1.91
O (0.2668, 0.2408, 0.5045) x8  2 Mn 1.91-1.92
O (0.2818, 0.0000, 0.2638) x4  2 Mn 1.91
O (0.5000, 0.2323, 0.7527) x4  2 Mn 1.96